The following is a DFT calculation (PBE with a Hubbard U) of a relaxed structure of LiVF4.

Unit cell a=6.297 b=6.297 c=6.297 alpha=121.45 beta=81.25 gamma=129.07
Positions (direct):
Li 0.000 0.000 0.000
Li 0.500 0.000 0.500
V 0.500 0.000 0.000
V 0.500 0.500 0.500
F 0.253 0.003 0.250
F 0.270 0.520 0.750
F 0.299 0.000 0.799
F 0.299 0.500 0.299
F 0.701 0.000 0.201
F 0.701 0.500 0.701
F 0.730 0.480 0.250
F 0.747 0.997 0.750

Total energy ... -67.7 eV per cell
Energy relative to the lowest polymorph listed for this composition ... 85 meV per atom